[1]
# Tb2PrSmDy6

Crystalline Tb2PrSmDy6 at its relaxed geometry (PBE, Alexandria via LeMat-Bulk).

```
data_Tb2PrSmDy6
_chemical_formula_sum 'Tb8 Pr4 Sm4 Dy24'
_cell_length_a 9.1123
_cell_length_b 15.0933
_cell_length_c 9.6004
_cell_angle_alpha 90.00
_cell_angle_beta 97.30
_cell_angle_gamma 90.00
_symmetry_space_group_name_H-M 'C 1 2/c 1'
_symmetry_Int_Tables_number 15
loop_
_symmetry_equiv_pos_as_xyz
'x,y,z'
'-x,-y,-z'
'-x,y,-z+1/2'
'x,-y,z+1/2'
'x+1/2,y+1/2,z'
'-x+1/2,-y+1/2,-z'
'-x+1/2,y+1/2,-z+1/2'
'x+1/2,-y+1/2,z+1/2'
loop_
_atom_site_label
_atom_site_fract_x
_atom_site_fract_y
_atom_site_fract_z
Tb1 0.2482 0.0522 0.0458
Pr1 0.0000 0.0257 0.7500
Sm1 0.0000 0.4083 0.2500
Dy1 0.0653 0.1864 0.4427
Dy2 0.0988 0.3916 0.6188
Dy3 0.2055 0.2269 0.8181
```

=====

[2]
# TbPrSm4Dy2

Crystalline TbPrSm4Dy2 at its relaxed geometry (PBE, Alexandria via LeMat-Bulk).

```
data_TbPrSm4Dy2
_chemical_formula_sum 'Tb4 Pr4 Sm16 Dy8'
_cell_length_a 13.7193
_cell_length_b 13.3225
_cell_length_c 6.8765
_cell_angle_alpha 90.00
_cell_angle_beta 120.05
_cell_angle_gamma 90.00
_symmetry_space_group_name_H-M 'C 1 2/c 1'
_symmetry_Int_Tables_number 15
loop_
_symmetry_equiv_pos_as_xyz
'x,y,z'
'-x,-y,-z'
'-x,y,-z+1/2'
'x,-y,z+1/2'
'x+1/2,y+1/2,z'
'-x+1/2,-y+1/2,-z'
'-x+1/2,y+1/2,-z+1/2'
'x+1/2,-y+1/2,z+1/2'
loop_
_atom_site_label
_atom_site_fract_x
_atom_site_fract_y
_atom_site_fract_z
Tb1 0.0000 0.0000 0.0000
Pr1 0.2500 0.2500 0.0000
Sm1 0.0000 0.2506 0.9999
Sm2 0.2502 0.0022 0.5189
Dy1 0.0000 0.5000 0.0000
Dy2 0.2500 0.2500 0.5000
```

=====

[3]
# Tb2PrSm3Dy6

Crystalline Tb2PrSm3Dy6 at its relaxed geometry (PBE, Alexandria via LeMat-Bulk).

```
data_Tb2PrSm3Dy6
_chemical_formula_sum 'Tb4 Pr2 Sm6 Dy12'
_cell_length_a 6.2054
_cell_length_b 10.7434
_cell_length_c 11.8416
_cell_angle_alpha 90.00
_cell_angle_beta 100.01
_cell_angle_gamma 90.00
_symmetry_space_group_name_H-M 'C 1 2/m 1'
_symmetry_Int_Tables_number 12
loop_
_symmetry_equiv_pos_as_xyz
'x,y,z'
'-x,-y,-z'
'-x,y,-z'
'x,-y,z'
'x+1/2,y+1/2,z'
'-x+1/2,-y+1/2,-z'
'-x+1/2,y+1/2,-z'
'x+1/2,-y+1/2,z'
loop_
_atom_site_label
_atom_site_fract_x
_atom_site_fract_y
_atom_site_fract_z
Tb1 0.0000 0.1667 0.0000
Pr1 0.0000 0.5000 0.0000
Sm1 0.0000 0.0000 0.5000
Sm2 0.0000 0.3332 0.5000
Dy1 0.2492 0.1670 0.7503
Dy2 0.2496 0.0000 0.2497
```

=====

[4]
# Tb2PrSmDy2

Crystalline Tb2PrSmDy2 at its relaxed geometry (PBE, Alexandria via LeMat-Bulk).

```
data_Tb2PrSmDy2
_chemical_formula_sum 'Tb4 Pr2 Sm2 Dy4'
_cell_length_a 6.6125
_cell_length_b 17.9095
_cell_length_c 3.4073
_cell_angle_alpha 90.00
_cell_angle_beta 90.00
_cell_angle_gamma 90.00
_symmetry_space_group_name_H-M 'P n n m'
_symmetry_Int_Tables_number 58
loop_
_symmetry_equiv_pos_as_xyz
'x,y,z'
'-x,-y,-z'
'-x,-y,z'
'x,y,-z'
'x+1/2,-y+1/2,-z+1/2'
'-x+1/2,y+1/2,z+1/2'
'-x+1/2,y+1/2,-z+1/2'
'x+1/2,-y+1/2,z+1/2'
loop_
_atom_site_label
_atom_site_fract_x
_atom_site_fract_y
_atom_site_fract_z
Tb1 0.2255 0.1849 0.0000
Pr1 0.0000 0.0000 0.0000
Sm1 0.0000 0.5000 0.0000
Dy1 0.2230 0.3503 0.5000
```

=====

[5]
# Tb2PrSm5Dy

Crystalline Tb2PrSm5Dy at its relaxed geometry (PBE, Alexandria via LeMat-Bulk).

```
data_Tb2PrSm5Dy
_chemical_formula_sum 'Tb8 Pr4 Sm20 Dy4'
_cell_length_a 5.6658
_cell_length_b 20.2719
_cell_length_c 10.7345
_cell_angle_alpha 90.00
_cell_angle_beta 90.00
_cell_angle_gamma 90.00
_symmetry_space_group_name_H-M 'C m c 21'
_symmetry_Int_Tables_number 36
loop_
_symmetry_equiv_pos_as_xyz
'x,y,z'
'-x,-y,z+1/2'
'-x,y,z'
'x,-y,z+1/2'
'x+1/2,y+1/2,z'
'-x+1/2,-y+1/2,z+1/2'
'-x+1/2,y+1/2,z'
'x+1/2,-y+1/2,z+1/2'
loop_
_atom_site_label
_atom_site_fract_x
_atom_site_fract_y
_atom_site_fract_z
Tb1 0.0000 0.1101 0.0000
Tb2 0.0000 0.1161 0.5847
Pr1 0.0000 0.2027 0.2737
Sm1 0.0000 0.0170 0.2885
Sm2 0.0000 0.2817 0.5715
Sm3 0.0000 0.2984 0.9693
Sm4 0.0000 0.3939 0.2896
Sm5 0.0000 0.4788 0.0049
Dy1 0.0000 0.4120 0.7203
```

=====

[6]
# Tb2Pr2SmDy

Crystalline Tb2Pr2SmDy at its relaxed geometry (PBE, Alexandria via LeMat-Bulk).

```
data_Tb2Pr2SmDy
_chemical_formula_sum 'Tb4 Pr4 Sm2 Dy2'
_cell_length_a 7.0562
_cell_length_b 5.7257
_cell_length_c 9.9261
_cell_angle_alpha 90.00
_cell_angle_beta 90.00
_cell_angle_gamma 90.00
_symmetry_space_group_name_H-M 'P m m a'
_symmetry_Int_Tables_number 51
loop_
_symmetry_equiv_pos_as_xyz
'x,y,z'
'-x,-y,-z'
'-x+1/2,-y,z'
'x+1/2,y,-z'
'x+1/2,-y,-z'
'-x+1/2,y,z'
'-x,y,-z'
'x,-y,z'
loop_
_atom_site_label
_atom_site_fract_x
_atom_site_fract_y
_atom_site_fract_z
Tb1 0.2500 0.0000 0.1653
Tb2 0.2500 0.5000 0.6669
Pr1 0.0000 0.5000 0.0000
Pr2 0.2500 0.0000 0.8282
Sm1 0.0000 0.0000 0.5000
Dy1 0.2500 0.5000 0.3370
```

=====

[7]
# TbPr6Sm3Dy2

Crystalline TbPr6Sm3Dy2 at its relaxed geometry (PBE, Alexandria via LeMat-Bulk).

```
data_TbPr6Sm3Dy2
_chemical_formula_sum 'Tb2 Pr12 Sm6 Dy4'
_cell_length_a 6.3433
_cell_length_b 10.9899
_cell_length_c 12.0121
_cell_angle_alpha 90.00
_cell_angle_beta 100.12
_cell_angle_gamma 90.00
_symmetry_space_group_name_H-M 'C 1 2/m 1'
_symmetry_Int_Tables_number 12
loop_
_symmetry_equiv_pos_as_xyz
'x,y,z'
'-x,-y,-z'
'-x,y,-z'
'x,-y,z'
'x+1/2,y+1/2,z'
'-x+1/2,-y+1/2,-z'
'-x+1/2,y+1/2,-z'
'x+1/2,-y+1/2,z'
loop_
_atom_site_label
_atom_site_fract_x
_atom_site_fract_y
_atom_site_fract_z
Tb1 0.0000 0.0000 0.0000
Pr1 0.2503 0.0000 0.7523
Pr2 0.2499 0.1667 0.2477
Sm1 0.0000 0.1667 0.5000
Sm2 0.0000 0.5000 0.5000
Dy1 0.0000 0.3334 0.0000
```

=====

[8]
# Tb5PrSm2Dy

Crystalline Tb5PrSm2Dy at its relaxed geometry (PBE, Alexandria via LeMat-Bulk).

```
data_Tb5PrSm2Dy
_chemical_formula_sum 'Tb20 Pr4 Sm8 Dy4'
_cell_length_a 8.8098
_cell_length_b 8.8098
_cell_length_c 15.3757
_cell_angle_alpha 90.00
_cell_angle_beta 90.00
_cell_angle_gamma 90.00
_symmetry_space_group_name_H-M 'I 4/m c m'
_symmetry_Int_Tables_number 140
_symmetry_space_group_name_Hall '-I 4 2c'
loop_
_atom_site_label
_atom_site_fract_x
_atom_site_fract_y
_atom_site_fract_z
Tb1 0.0000 0.0000 0.0000
Tb2 0.2081 0.2919 0.1360
Pr1 0.0000 0.0000 0.2500
Sm1 0.1159 0.3841 0.5000
Dy1 0.0000 0.5000 0.2500
```

=====

[9]
# Tb6Pr2SmDy

Crystalline Tb6Pr2SmDy at its relaxed geometry (PBE, Alexandria via LeMat-Bulk).

```
data_Tb6Pr2SmDy
_chemical_formula_sum 'Tb24 Pr8 Sm4 Dy4'
_cell_length_a 9.0842
_cell_length_b 15.1378
_cell_length_c 9.8049
_cell_angle_alpha 90.00
_cell_angle_beta 99.09
_cell_angle_gamma 90.00
_symmetry_space_group_name_H-M 'C 1 2/c 1'
_symmetry_Int_Tables_number 15
loop_
_symmetry_equiv_pos_as_xyz
'x,y,z'
'-x,-y,-z'
'-x,y,-z+1/2'
'x,-y,z+1/2'
'x+1/2,y+1/2,z'
'-x+1/2,-y+1/2,-z'
'-x+1/2,y+1/2,-z+1/2'
'x+1/2,-y+1/2,z+1/2'
loop_
_atom_site_label
_atom_site_fract_x
_atom_site_fract_y
_atom_site_fract_z
Tb1 0.0678 0.1908 0.4429
Tb2 0.0998 0.3945 0.6197
Tb3 0.2021 0.2231 0.8124
Pr1 0.2441 0.0510 0.0417
Sm1 0.0000 0.0168 0.7500
Dy1 0.0000 0.4068 0.2500
```

=====

[10]
# TbPr3Sm2Dy6

Crystalline TbPr3Sm2Dy6 at its relaxed geometry (PBE, Alexandria via LeMat-Bulk).

```
data_TbPr3Sm2Dy6
_chemical_formula_sum 'Tb2 Pr6 Sm4 Dy12'
_cell_length_a 6.2496
_cell_length_b 10.8224
_cell_length_c 11.8667
_cell_angle_alpha 90.00
_cell_angle_beta 100.08
_cell_angle_gamma 90.00
_symmetry_space_group_name_H-M 'C 1 2/m 1'
_symmetry_Int_Tables_number 12
loop_
_symmetry_equiv_pos_as_xyz
'x,y,z'
'-x,-y,-z'
'-x,y,-z'
'x,-y,z'
'x+1/2,y+1/2,z'
'-x+1/2,-y+1/2,-z'
'-x+1/2,y+1/2,-z'
'x+1/2,-y+1/2,z'
loop_
_atom_site_label
_atom_site_fract_x
_atom_site_fract_y
_atom_site_fract_z
Tb1 0.0000 0.0000 0.0000
Pr1 0.0000 0.1667 0.5000
Pr2 0.0000 0.5000 0.5000
Sm1 0.0000 0.3335 0.0000
Dy1 0.2491 0.1665 0.2473
Dy2 0.2504 0.0000 0.7526
```

=====

[11]
# Tb2Pr3SmDy6

Crystalline Tb2Pr3SmDy6 at its relaxed geometry (PBE, Alexandria via LeMat-Bulk).

```
data_Tb2Pr3SmDy6
_chemical_formula_sum 'Tb4 Pr6 Sm2 Dy12'
_cell_length_a 6.2373
_cell_length_b 10.8010
_cell_length_c 11.8642
_cell_angle_alpha 90.00
_cell_angle_beta 100.06
_cell_angle_gamma 90.00
_symmetry_space_group_name_H-M 'C 1 2/m 1'
_symmetry_Int_Tables_number 12
loop_
_symmetry_equiv_pos_as_xyz
'x,y,z'
'-x,-y,-z'
'-x,y,-z'
'x,-y,z'
'x+1/2,y+1/2,z'
'-x+1/2,-y+1/2,-z'
'-x+1/2,y+1/2,-z'
'x+1/2,-y+1/2,z'
loop_
_atom_site_label
_atom_site_fract_x
_atom_site_fract_y
_atom_site_fract_z
Tb1 0.0000 0.1666 0.0000
Pr1 0.0000 0.0000 0.5000
Pr2 0.0000 0.3332 0.5000
Sm1 0.0000 0.5000 0.0000
Dy1 0.2489 0.0000 0.2467
Dy2 0.2493 0.3332 0.2466
```

=====

[12]
# TbPr2Sm2Dy2

Crystalline TbPr2Sm2Dy2 at its relaxed geometry (PBE, Alexandria via LeMat-Bulk).

```
data_TbPr2Sm2Dy2
_chemical_formula_sum 'Tb3 Pr6 Sm6 Dy6'
_cell_length_a 5.7675
_cell_length_b 5.7675
_cell_length_c 24.5641
_cell_angle_alpha 90.00
_cell_angle_beta 90.00
_cell_angle_gamma 120.00
_symmetry_space_group_name_H-M 'R -3 m'
_symmetry_Int_Tables_number 166
_symmetry_space_group_name_Hall '-R 3 2"'
loop_
_atom_site_label
_atom_site_fract_x
_atom_site_fract_y
_atom_site_fract_z
Tb1 0.0000 0.0000 0.0000
Pr1 0.0000 0.0000 0.1381
Sm1 0.0000 0.0000 0.2809
Dy1 0.0000 0.0000 0.4248
```

=====

| no. | energy relative to the elements (kJ/mol of formula units) | electronic total energy (eV/atom) |
| --- | --- | --- |
| 1 | 118 | -4.52 |
| 2 | 312 | -4.28 |
| 3 | 17 | -4.64 |
| 4 | 158 | -4.39 |
| 5 | 127 | -4.55 |
| 6 | 37 | -4.63 |
| 7 | 14 | -4.71 |
| 8 | 235 | -4.39 |
| 9 | 113 | -4.55 |
| 10 | 17 | -4.65 |
| 11 | 19 | -4.64 |
| 12 | 92 | -4.55 |